# 1
# PBE-GGA Nd8Sm4Th, optimized geometry
# Energy of formation from the pure elements, eV per atom: 0.41
data_Nd8Sm4Th
_chemical_formula_sum 'Nd8 Sm4 Th1'
_cell_length_a 11.855
_cell_length_b 11.855
_cell_length_c 7.892
_cell_angle_alpha 90.00
_cell_angle_beta 138.68
_cell_angle_gamma 120.00
_symmetry_space_group_name_H-M 'P 1'
_symmetry_Int_Tables_number 1
loop_
_symmetry_equiv_pos_as_xyz
'x,y,z'
loop_
_atom_site_label
_atom_site_fract_x
_atom_site_fract_y
_atom_site_fract_z
Nd1 0.520 0.760 0.280
Nd2 0.480 0.240 0.720
Nd3 0.339 0.170 0.008
Nd4 0.161 0.331 0.992
Nd5 0.661 0.830 0.992
Nd6 0.161 0.830 0.992
Nd7 0.839 0.170 0.008
Nd8 0.839 0.669 0.008
Sm1 0.000 0.000 0.000
Sm2 0.000 0.500 0.000
Sm3 0.500 0.500 0.000
Sm4 0.500 0.000 0.000
Th1 0.000 0.500 0.500


# 2
# PBE-GGA LaB2Os, optimized geometry
# Energy of formation from the pure elements, eV per atom: 0.68
# Excess energy over the best structure of this formula in the dataset, meV per atom: 985
data_LaB2Os
_chemical_formula_sum 'La1 B2 Os1'
_cell_length_a 4.328
_cell_length_b 4.328
_cell_length_c 4.328
_cell_angle_alpha 60.00
_cell_angle_beta 60.00
_cell_angle_gamma 60.00
_symmetry_space_group_name_H-M 'P 1'
_symmetry_Int_Tables_number 1
loop_
_symmetry_equiv_pos_as_xyz
'x,y,z'
loop_
_atom_site_label
_atom_site_fract_x
_atom_site_fract_y
_atom_site_fract_z
B1 0.250 0.250 0.250
B2 0.750 0.750 0.750
Os1 0.500 0.500 0.500
La1 0.000 0.000 0.000


# 3
# PBE-GGA Cs8Ag2Br, optimized geometry
# Energy relative to the elements, uncorrected, meV per atom: -286
data_Cs8Ag2Br
_chemical_formula_sum 'Cs8 Ag2 Br1'
_cell_length_a 5.176
_cell_length_b 10.712
_cell_length_c 15.601
_cell_angle_alpha 89.59
_cell_angle_beta 99.55
_cell_angle_gamma 90.00
_symmetry_space_group_name_H-M 'P 1'
_symmetry_Int_Tables_number 1
loop_
_symmetry_equiv_pos_as_xyz
'x,y,z'
loop_
_atom_site_label
_atom_site_fract_x
_atom_site_fract_y
_atom_site_fract_z
Cs1 0.623 0.497 0.247
Cs2 0.381 0.986 0.762
Cs3 0.256 0.243 0.511
Cs4 0.013 0.757 0.025
Cs5 0.744 0.757 0.489
Cs6 0.619 0.014 0.238
Cs7 0.377 0.503 0.753
Cs8 0.987 0.243 0.975
Br1 0.500 0.000 0.000
Ag1 0.143 0.761 0.287
Ag2 0.857 0.239 0.713


# 4
# PBE-GGA V2PdW, optimized geometry
# Energy of formation from the pure elements, eV per atom: -0.07
data_V2PdW
_chemical_formula_sum 'V2 Pd1 W1'
_cell_length_a 3.114
_cell_length_b 3.114
_cell_length_c 6.068
_cell_angle_alpha 90.00
_cell_angle_beta 90.00
_cell_angle_gamma 90.00
_symmetry_space_group_name_H-M 'P 1'
_symmetry_Int_Tables_number 1
loop_
_symmetry_equiv_pos_as_xyz
'x,y,z'
loop_
_atom_site_label
_atom_site_fract_x
_atom_site_fract_y
_atom_site_fract_z
Pd1 0.500 0.500 0.500
W1 0.500 0.500 0.000
V1 0.000 0.000 0.765
V2 0.000 0.000 0.235


# 5
# PBE-GGA Th3Cd3Tc, optimized geometry
# Energy of formation from the pure elements, eV per atom: -0.17
data_Th3Cd3Tc
_chemical_formula_sum 'Th12 Cd12 Tc4'
_cell_length_a 10.252
_cell_length_b 10.252
_cell_length_c 10.252
_cell_angle_alpha 60.00
_cell_angle_beta 60.00
_cell_angle_gamma 60.00
_symmetry_space_group_name_H-M 'P 1'
_symmetry_Int_Tables_number 1
loop_
_symmetry_equiv_pos_as_xyz
'x,y,z'
loop_
_atom_site_label
_atom_site_fract_x
_atom_site_fract_y
_atom_site_fract_z
Th1 0.048 0.452 0.048
Th2 0.202 0.202 0.798
Th3 0.798 0.798 0.202
Th4 0.798 0.202 0.798
Th5 0.798 0.202 0.202
Th6 0.202 0.798 0.798
Th7 0.452 0.048 0.048
Th8 0.048 0.048 0.452
Th9 0.452 0.452 0.048
Th10 0.048 0.452 0.452
Th11 0.202 0.798 0.202
Th12 0.452 0.048 0.452
Cd1 0.831 0.831 0.831
Cd2 0.419 0.419 0.742
Cd3 0.419 0.742 0.419
Cd4 0.742 0.419 0.419
Cd5 0.831 0.508 0.831
Cd6 0.508 0.831 0.831
Cd7 0.831 0.831 0.508
Cd8 0.419 0.419 0.419
Cd9 0.625 0.625 0.625
Cd10 0.625 0.625 0.125
Cd11 0.625 0.125 0.625
Cd12 0.125 0.625 0.625
Tc1 0.125 0.125 0.125
Tc2 0.125 0.125 0.625
Tc3 0.125 0.625 0.125
Tc4 0.625 0.125 0.125


# 6
# PBE-GGA Pm6Nd2Dy3, optimized geometry
# Energy of formation from the pure elements, eV per atom: 0.39
# Excess energy over the best structure of this formula in the dataset, meV per atom: 115
data_Pm6Nd2Dy3
_chemical_formula_sum 'Pm6 Nd2 Dy3'
_cell_length_a 5.260
_cell_length_b 5.262
_cell_length_c 15.993
_cell_angle_alpha 96.12
_cell_angle_beta 96.11
_cell_angle_gamma 110.60
_symmetry_space_group_name_H-M 'P 1'
_symmetry_Int_Tables_number 1
loop_
_symmetry_equiv_pos_as_xyz
'x,y,z'
loop_
_atom_site_label
_atom_site_fract_x
_atom_site_fract_y
_atom_site_fract_z
Pm1 0.270 0.612 0.885
Pm2 0.612 0.270 0.885
Pm3 0.730 0.388 0.115
Pm4 0.388 0.730 0.115
Pm5 0.777 0.777 0.554
Pm6 0.223 0.223 0.446
Nd1 0.114 0.114 0.229
Nd2 0.886 0.886 0.771
Dy1 0.000 0.000 0.000
Dy2 0.665 0.665 0.331
Dy3 0.335 0.335 0.669


# 7
# PBE-GGA NaMoIr3, optimized geometry
# Energy of formation from the pure elements, eV per atom: 1.25
# Excess energy over the best structure of this formula in the dataset, meV per atom: 0
data_NaMoIr3
_chemical_formula_sum 'Na1 Mo1 Ir3'
_cell_length_a 4.769
_cell_length_b 4.769
_cell_length_c 4.769
_cell_angle_alpha 90.00
_cell_angle_beta 90.00
_cell_angle_gamma 90.00
_symmetry_space_group_name_H-M 'P 1'
_symmetry_Int_Tables_number 1
loop_
_symmetry_equiv_pos_as_xyz
'x,y,z'
loop_
_atom_site_label
_atom_site_fract_x
_atom_site_fract_y
_atom_site_fract_z
Na1 0.500 0.500 0.500
Mo1 0.000 0.000 0.000
Ir1 0.000 0.500 0.000
Ir2 0.000 0.000 0.500
Ir3 0.500 0.000 0.000


# 8
# PBE-GGA Pa3Al2Ru6, optimized geometry
# Energy of formation from the pure elements, eV per atom: -0.44
data_Pa3Al2Ru6
_chemical_formula_sum 'Pa6 Al4 Ru12'
_cell_length_a 8.041
_cell_length_b 8.041
_cell_length_c 8.041
_cell_angle_alpha 109.47
_cell_angle_beta 109.47
_cell_angle_gamma 109.47
_symmetry_space_group_name_H-M 'P 1'
_symmetry_Int_Tables_number 1
loop_
_symmetry_equiv_pos_as_xyz
'x,y,z'
loop_
_atom_site_label
_atom_site_fract_x
_atom_site_fract_y
_atom_site_fract_z
Pa1 0.711 0.000 0.711
Pa2 0.289 0.000 0.289
Pa3 0.000 0.289 0.289
Pa4 0.000 0.711 0.711
Pa5 0.289 0.289 0.000
Pa6 0.711 0.711 0.000
Al1 0.000 0.500 0.000
Al2 0.500 0.000 0.000
Al3 0.000 0.000 0.500
Al4 0.500 0.500 0.500
Ru1 0.649 0.299 0.649
Ru2 0.649 0.000 0.351
Ru3 0.351 0.000 0.649
Ru4 0.351 0.701 0.351
Ru5 0.000 0.649 0.351
Ru6 0.701 0.351 0.351
Ru7 0.299 0.649 0.649
Ru8 0.000 0.351 0.649
Ru9 0.351 0.649 0.000
Ru10 0.649 0.649 0.299
Ru11 0.351 0.351 0.701
Ru12 0.649 0.351 0.000


# 9
# PBE-GGA Na17In2, optimized geometry
# Energy of formation from the pure elements, eV per atom: 0.06
data_Na17In2
_chemical_formula_sum 'Na17 In2'
_cell_length_a 10.015
_cell_length_b 10.015
_cell_length_c 10.015
_cell_angle_alpha 57.19
_cell_angle_beta 57.19
_cell_angle_gamma 57.19
_symmetry_space_group_name_H-M 'P 1'
_symmetry_Int_Tables_number 1
loop_
_symmetry_equiv_pos_as_xyz
'x,y,z'
loop_
_atom_site_label
_atom_site_fract_x
_atom_site_fract_y
_atom_site_fract_z
Na1 0.429 0.429 0.808
Na2 0.429 0.808 0.429
Na3 0.081 0.081 0.081
Na4 0.919 0.919 0.919
Na5 0.000 0.000 0.500
Na6 0.500 0.000 0.000
Na7 0.000 0.500 0.000
Na8 0.330 0.670 0.000
Na9 0.000 0.330 0.670
Na10 0.670 0.000 0.330
Na11 0.670 0.330 0.000
Na12 0.000 0.670 0.330
Na13 0.330 0.000 0.670
Na14 0.571 0.192 0.571
Na15 0.571 0.571 0.192
Na16 0.192 0.571 0.571
Na17 0.808 0.429 0.429
In1 0.733 0.733 0.733
In2 0.267 0.267 0.267


# 10
# PBE-GGA AgPbAu2, optimized geometry
# Energy of formation from the pure elements, eV per atom: 0.08
data_AgPbAu2
_chemical_formula_sum 'Ag1 Pb1 Au2'
_cell_length_a 9.404
_cell_length_b 9.404
_cell_length_c 9.404
_cell_angle_alpha 20.03
_cell_angle_beta 20.03
_cell_angle_gamma 20.03
_symmetry_space_group_name_H-M 'P 1'
_symmetry_Int_Tables_number 1
loop_
_symmetry_equiv_pos_as_xyz
'x,y,z'
loop_
_atom_site_label
_atom_site_fract_x
_atom_site_fract_y
_atom_site_fract_z
Pb1 0.250 0.250 0.250
Au1 0.006 0.006 0.006
Au2 0.494 0.494 0.494
Ag1 0.750 0.750 0.750


# 11
# PBE-GGA GaMoCl3, optimized geometry
# Energy relative to the elements, uncorrected, meV per atom: -348
# Excess energy over the best structure of this formula in the dataset, meV per atom: 0
data_GaMoCl3
_chemical_formula_sum 'Ga1 Mo1 Cl3'
_cell_length_a 5.120
_cell_length_b 5.120
_cell_length_c 5.120
_cell_angle_alpha 90.00
_cell_angle_beta 90.00
_cell_angle_gamma 90.00
_symmetry_space_group_name_H-M 'P 1'
_symmetry_Int_Tables_number 1
loop_
_symmetry_equiv_pos_as_xyz
'x,y,z'
loop_
_atom_site_label
_atom_site_fract_x
_atom_site_fract_y
_atom_site_fract_z
Mo1 0.000 0.000 0.000
Ga1 0.500 0.500 0.500
Cl1 0.000 0.500 0.000
Cl2 0.000 0.000 0.500
Cl3 0.500 0.000 0.000


# 12
# PBE-GGA CaAlCd2, optimized geometry
# Energy of formation from the pure elements, eV per atom: -0.02
data_CaAlCd2
_chemical_formula_sum 'Ca1 Al1 Cd2'
_cell_length_a 5.764
_cell_length_b 6.097
_cell_length_c 3.203
_cell_angle_alpha 77.81
_cell_angle_beta 83.76
_cell_angle_gamma 116.37
_symmetry_space_group_name_H-M 'P 1'
_symmetry_Int_Tables_number 1
loop_
_symmetry_equiv_pos_as_xyz
'x,y,z'
loop_
_atom_site_label
_atom_site_fract_x
_atom_site_fract_y
_atom_site_fract_z
Ca1 0.500 0.500 0.000
Al1 0.000 0.500 0.500
Cd1 0.000 0.000 0.000
Cd2 0.500 0.000 0.500


# 13
# PBE-GGA CrCd2Pd9, optimized geometry
# Energy of formation from the pure elements, eV per atom: -0.19
data_CrCd2Pd9
_chemical_formula_sum 'Cr1 Cd2 Pd9'
_cell_length_a 3.972
_cell_length_b 3.972
_cell_length_c 12.079
_cell_angle_alpha 90.00
_cell_angle_beta 90.00
_cell_angle_gamma 90.00
_symmetry_space_group_name_H-M 'P 1'
_symmetry_Int_Tables_number 1
loop_
_symmetry_equiv_pos_as_xyz
'x,y,z'
loop_
_atom_site_label
_atom_site_fract_x
_atom_site_fract_y
_atom_site_fract_z
Cr1 0.000 0.000 0.000
Cd1 0.000 0.000 0.330
Cd2 0.000 0.000 0.670
Pd1 0.500 0.500 0.000
Pd2 0.500 0.500 0.327
Pd3 0.500 0.500 0.673
Pd4 0.500 0.000 0.156
Pd5 0.500 0.000 0.500
Pd6 0.500 0.000 0.844
Pd7 0.000 0.500 0.156
Pd8 0.000 0.500 0.500
Pd9 0.000 0.500 0.844


# 14
# PBE-GGA CeMgPd4, optimized geometry
# Energy of formation from the pure elements, eV per atom: -0.61
# Excess energy over the best structure of this formula in the dataset, meV per atom: 47
data_CeMgPd4
_chemical_formula_sum 'Ce2 Mg2 Pd8'
_cell_length_a 3.694
_cell_length_b 5.180
_cell_length_c 12.873
_cell_angle_alpha 69.70
_cell_angle_beta 90.00
_cell_angle_gamma 110.89
_symmetry_space_group_name_H-M 'P 1'
_symmetry_Int_Tables_number 1
loop_
_symmetry_equiv_pos_as_xyz
'x,y,z'
loop_
_atom_site_label
_atom_site_fract_x
_atom_site_fract_y
_atom_site_fract_z
Ce1 0.500 0.500 0.000
Ce2 0.000 0.500 0.500
Mg1 0.250 0.000 0.250
Mg2 0.750 0.000 0.750
Pd1 0.986 0.472 0.172
Pd2 0.514 0.528 0.328
Pd3 0.014 0.528 0.828
Pd4 0.486 0.472 0.672
Pd5 0.236 0.973 0.593
Pd6 0.264 0.027 0.907
Pd7 0.764 0.027 0.407
Pd8 0.736 0.973 0.093


# 15
# PBE-GGA DyUP2, optimized geometry
# Energy of formation from the pure elements, eV per atom: -1.29
# Excess energy over the best structure of this formula in the dataset, meV per atom: 0
data_DyUP2
_chemical_formula_sum 'Dy1 U1 P2'
_cell_length_a 3.946
_cell_length_b 3.946
_cell_length_c 6.946
_cell_angle_alpha 73.50
_cell_angle_beta 73.50
_cell_angle_gamma 60.00
_symmetry_space_group_name_H-M 'P 1'
_symmetry_Int_Tables_number 1
loop_
_symmetry_equiv_pos_as_xyz
'x,y,z'
loop_
_atom_site_label
_atom_site_fract_x
_atom_site_fract_y
_atom_site_fract_z
P1 0.252 0.252 0.245
P2 0.748 0.748 0.755
U1 0.000 0.000 0.000
Dy1 0.500 0.500 0.500


# 16
# PBE-GGA Zr2SN2, optimized geometry
# Energy relative to the elements, uncorrected, meV per atom: -1651
data_Zr2SN2
_chemical_formula_sum 'Zr4 S2 N4'
_cell_length_a 3.647
_cell_length_b 3.647
_cell_length_c 12.921
_cell_angle_alpha 90.00
_cell_angle_beta 90.00
_cell_angle_gamma 120.00
_symmetry_space_group_name_H-M 'P 1'
_symmetry_Int_Tables_number 1
loop_
_symmetry_equiv_pos_as_xyz
'x,y,z'
loop_
_atom_site_label
_atom_site_fract_x
_atom_site_fract_y
_atom_site_fract_z
S1 0.000 0.000 0.750
S2 0.000 0.000 0.250
Zr1 0.667 0.333 0.397
Zr2 0.333 0.667 0.897
Zr3 0.333 0.667 0.603
Zr4 0.667 0.333 0.103
N1 0.333 0.667 0.432
N2 0.667 0.333 0.932
N3 0.667 0.333 0.568
N4 0.333 0.667 0.068


# 17
# PBE-GGA AcYAg4, optimized geometry
# Energy of formation from the pure elements, eV per atom: -0.25
# Excess energy over the best structure of this formula in the dataset, meV per atom: 34
data_AcYAg4
_chemical_formula_sum 'Ac1 Y1 Ag4'
_cell_length_a 3.715
_cell_length_b 4.868
_cell_length_c 8.281
_cell_angle_alpha 90.00
_cell_angle_beta 90.00
_cell_angle_gamma 90.00
_symmetry_space_group_name_H-M 'P 1'
_symmetry_Int_Tables_number 1
loop_
_symmetry_equiv_pos_as_xyz
'x,y,z'
loop_
_atom_site_label
_atom_site_fract_x
_atom_site_fract_y
_atom_site_fract_z
Ac1 0.999 0.997 0.498
Y1 0.999 0.497 0.998
Ag1 0.499 0.997 0.160
Ag2 0.499 0.997 0.836
Ag3 0.499 0.497 0.674
Ag4 0.499 0.497 0.323


# 18
# PBE-GGA Re3Mo, optimized geometry
# Energy of formation from the pure elements, eV per atom: 0.12
# Excess energy over the best structure of this formula in the dataset, meV per atom: 35
data_Re3Mo
_chemical_formula_sum 'Re6 Mo2'
_cell_length_a 5.578
_cell_length_b 5.578
_cell_length_c 4.514
_cell_angle_alpha 90.00
_cell_angle_beta 90.00
_cell_angle_gamma 120.00
_symmetry_space_group_name_H-M 'P 1'
_symmetry_Int_Tables_number 1
loop_
_symmetry_equiv_pos_as_xyz
'x,y,z'
loop_
_atom_site_label
_atom_site_fract_x
_atom_site_fract_y
_atom_site_fract_z
Re1 0.834 0.166 0.250
Re2 0.166 0.834 0.750
Re3 0.834 0.668 0.250
Re4 0.166 0.332 0.750
Re5 0.332 0.166 0.250
Re6 0.668 0.834 0.750
Mo1 0.333 0.667 0.250
Mo2 0.667 0.333 0.750


# 19
# PBE-GGA KCoNiBr6, optimized geometry
# Energy relative to the elements, uncorrected, meV per atom: -607
data_KCoNiBr6
_chemical_formula_sum 'K1 Co1 Ni1 Br6'
_cell_length_a 6.479
_cell_length_b 6.479
_cell_length_c 7.451
_cell_angle_alpha 90.00
_cell_angle_beta 90.00
_cell_angle_gamma 60.00
_symmetry_space_group_name_H-M 'P 1'
_symmetry_Int_Tables_number 1
loop_
_symmetry_equiv_pos_as_xyz
'x,y,z'
loop_
_atom_site_label
_atom_site_fract_x
_atom_site_fract_y
_atom_site_fract_z
K1 0.000 0.000 0.000
Co1 0.333 0.333 0.500
Ni1 0.667 0.667 0.500
Br1 0.013 0.363 0.314
Br2 0.363 0.013 0.686
Br3 0.624 0.363 0.686
Br4 0.013 0.624 0.686
Br5 0.363 0.624 0.314
Br6 0.624 0.013 0.314


# 20
# PBE-GGA LaHg2Cl, optimized geometry
# Energy relative to the elements, uncorrected, meV per atom: -794
# Excess energy over the best structure of this formula in the dataset, meV per atom: 46
data_LaHg2Cl
_chemical_formula_sum 'La1 Hg2 Cl1'
_cell_length_a 6.074
_cell_length_b 6.074
_cell_length_c 6.074
_cell_angle_alpha 139.53
_cell_angle_beta 127.77
_cell_angle_gamma 68.09
_symmetry_space_group_name_H-M 'P 1'
_symmetry_Int_Tables_number 1
loop_
_symmetry_equiv_pos_as_xyz
'x,y,z'
loop_
_atom_site_label
_atom_site_fract_x
_atom_site_fract_y
_atom_site_fract_z
Cl1 0.279 0.779 0.500
Hg1 0.008 0.008 0.000
Hg2 0.739 0.239 0.500
La1 0.475 0.475 0.000